NdPPbO (GGA-PBE, relaxed); volume = 106.7 Å³/f.u.; total magnetic moment = 0.00 μB/f.u.; ΔE to the lowest computed polymorph = 0.0788 eV/atom; theoretical density = 6.202 g cm⁻³; space group = Pmc2_1 (26)
1.0
4.834 0.000 0.000
0.000 6.791 0.000
0.000 0.000 6.499
Nd P Pb O
2 2 2 2
direct
0.000 0.151 0.000 Nd
0.000 0.849 0.500 Nd
0.500 0.294 0.824 P
0.500 0.706 0.324 P
0.500 0.300 0.401 Pb
0.500 0.700 0.901 Pb
0.000 0.140 0.347 O
0.000 0.860 0.847 O


BaLuGe (GGA-PBE, relaxed); volume = 106.2 Å³/f.u.; total magnetic moment = 0.00 μB/f.u.; theoretical density = 6.020 g cm⁻³; space group = F-43m (216); uncorrected energy = -9.52 eV/cell
1.0
0.000 3.758 3.758
3.758 0.000 3.758
3.758 3.758 0.000
Ba Lu Ge
1 1 1
direct
0.000 0.000 0.000 Ba
0.250 0.250 0.250 Lu
0.750 0.750 0.750 Ge


DyHoGaNi2 (GGA-PBE, relaxed); volume = 92.0 Å³/f.u.; total magnetic moment = 0.02 μB/f.u.; theoretical density = 9.283 g cm⁻³; space group = Imm2 (44); uncorrected energy = -26.27 eV/cell
1.0
-2.094 2.680 4.100
2.094 -2.680 4.100
2.094 2.680 -4.100
Dy Ho Ga Ni
1 1 1 2
direct
0.000 0.000 0.000 Dy
0.404 0.404 0.000 Ho
0.702 0.202 0.500 Ga
0.434 0.702 0.732 Ni
0.971 0.702 0.268 Ni


CsCd2InIr (GGA-PBE, relaxed); volume = 152.2 Å³/f.u.; total magnetic moment = 0.00 μB/f.u.; theoretical density = 7.253 g cm⁻³; space group = P4/mmm (123); uncorrected energy = -14.78 eV/cell
1.0
5.409 0.000 0.000
0.000 5.409 0.000
0.000 0.000 5.202
Cs Cd In Ir
1 2 1 1
direct
0.000 0.000 0.000 Cs
0.000 0.500 0.500 Cd
0.500 0.000 0.500 Cd
0.500 0.500 0.000 In
0.500 0.500 0.500 Ir


YGa2Os (GGA-PBE, relaxed); volume = 72.2 Å³/f.u.; total magnetic moment = 0.02 μB/f.u.; theoretical density = 9.633 g cm⁻³; space group = F-43m (216); uncorrected energy = -23.72 eV/cell
1.0
0.000 3.304 3.304
3.304 0.000 3.304
3.304 3.304 0.000
Y Ga Os
1 2 1
direct
0.000 0.000 0.000 Y
0.250 0.250 0.250 Ga
0.500 0.500 0.500 Ga
0.750 0.750 0.750 Os


SrFeCuP2 (GGA-PBE, relaxed); volume = 86.5 Å³/f.u.; total magnetic moment = 2.01 μB/f.u.; theoretical density = 5.166 g cm⁻³; space group = I-4m2 (119); uncorrected energy = -27.53 eV/cell
1.0
-1.929 1.929 5.812
1.929 -1.929 5.812
1.929 1.929 -5.812
Sr Fe Cu P
1 1 1 2
direct
0.000 0.000 0.000 Sr
0.750 0.250 0.500 Fe
0.250 0.750 0.500 Cu
0.357 0.357 0.000 P
0.643 0.643 0.000 P


NaThTlTe3 (GGA-PBE, relaxed); volume = 226.9 Å³/f.u.; total magnetic moment = 0.01 μB/f.u.; theoretical density = 6.164 g cm⁻³; space group = Cmcm (63); uncorrected energy = -51.67 eV/cell
1.0
2.279 -7.882 0.000
2.279 7.882 0.000
0.000 0.000 12.632
Na Th Tl Te
2 2 2 6
direct
0.104 0.896 0.750 Na
0.896 0.104 0.250 Na
0.500 0.500 0.000 Th
0.500 0.500 0.500 Th
0.184 0.816 0.250 Tl
0.816 0.184 0.750 Tl
0.136 0.864 0.516 Te
0.136 0.864 0.984 Te
0.465 0.535 0.750 Te
0.535 0.465 0.250 Te
0.864 0.136 0.016 Te
0.864 0.136 0.484 Te


Gd2YSn3Pd3 (GGA-PBE, relaxed); volume = 199.3 Å³/f.u.; total magnetic moment = 0.01 μB/f.u.; theoretical density = 8.986 g cm⁻³; space group = Amm2 (38); uncorrected energy = -51.79 eV/cell
1.0
3.988 0.000 0.000
0.000 6.580 3.798
0.000 -6.580 3.798
Gd Y Sn Pd
2 1 3 3
direct
0.000 0.203 0.797 Gd
0.000 0.797 0.203 Gd
0.000 0.608 0.608 Y
0.500 0.204 0.462 Sn
0.500 0.462 0.204 Sn
0.500 0.945 0.945 Sn
0.000 0.204 0.204 Pd
0.500 0.537 0.870 Pd
0.500 0.870 0.537 Pd


CsLuNi (GGA-PBE, relaxed); volume = 82.4 Å³/f.u.; total magnetic moment = 0.00 μB/f.u.; theoretical density = 7.389 g cm⁻³; space group = F-43m (216); uncorrected energy = -6.39 eV/cell
1.0
0.000 3.453 3.453
3.453 0.000 3.453
3.453 3.453 0.000
Cs Lu Ni
1 1 1
direct
0.000 0.000 0.000 Cs
0.750 0.750 0.750 Lu
0.250 0.250 0.250 Ni


PaZnNO (GGA-PBE, relaxed); volume = 56.1 Å³/f.u.; total magnetic moment = 1.01 μB/f.u.; ΔE to the lowest computed polymorph = 0.0148 eV/atom; theoretical density = 9.664 g cm⁻³; space group = Pmc2_1 (26)
1.0
4.068 0.000 0.000
0.000 5.415 0.000
0.000 0.000 5.093
Pa Zn N O
2 2 2 2
direct
0.000 0.245 0.000 Pa
0.000 0.755 0.500 Pa
0.500 0.217 0.498 Zn
0.500 0.783 0.998 Zn
0.000 0.182 0.479 N
0.000 0.818 0.979 N
0.500 0.413 0.862 O
0.500 0.587 0.362 O


BeCdNiGe (GGA-PBE, relaxed); volume = 57.8 Å³/f.u.; total magnetic moment = 0.00 μB/f.u.; ΔE to the lowest computed polymorph = 0.0586 eV/atom; theoretical density = 7.260 g cm⁻³; space group = F-43m (216)
1.0
0.000 3.069 3.069
3.069 0.000 3.069
3.069 3.069 0.000
Be Cd Ni Ge
1 1 1 1
direct
0.000 0.000 0.000 Be
0.750 0.750 0.750 Cd
0.250 0.250 0.250 Ni
0.500 0.500 0.500 Ge


RbGdGeSe3 (GGA-PBE, relaxed); volume = 194.2 Å³/f.u.; total magnetic moment = 0.00 μB/f.u.; theoretical density = 4.722 g cm⁻³; space group = Cmcm (63); uncorrected energy = -54.83 eV/cell
1.0
2.236 -7.612 0.000
2.236 7.612 0.000
0.000 0.000 11.407
Rb Gd Ge Se
2 2 2 6
direct
0.245 0.755 0.750 Rb
0.755 0.245 0.250 Rb
0.500 0.500 0.000 Gd
0.500 0.500 0.500 Gd
0.036 0.964 0.250 Ge
0.964 0.036 0.750 Ge
0.123 0.877 0.046 Se
0.123 0.877 0.454 Se
0.440 0.560 0.250 Se
0.560 0.440 0.750 Se
0.877 0.123 0.546 Se
0.877 0.123 0.954 Se


Er3Mg3Hg2Pt (GGA-PBE, relaxed); volume = 206.8 Å³/f.u.; total magnetic moment = 0.11 μB/f.u.; theoretical density = 9.401 g cm⁻³; space group = P-62m (189); uncorrected energy = -30.11 eV/cell
1.0
7.511 0.000 0.000
-3.756 6.505 0.000
0.000 0.000 4.233
Er Mg Hg Pt
3 3 2 1
direct
0.000 0.603 0.000 Er
0.397 0.397 0.000 Er
0.603 0.000 0.000 Er
0.000 0.237 0.500 Mg
0.237 0.000 0.500 Mg
0.763 0.763 0.500 Mg
0.333 0.667 0.500 Hg
0.667 0.333 0.500 Hg
0.000 0.000 0.000 Pt


LaSiAg2Ge (GGA-PBE, relaxed); volume = 103.2 Å³/f.u.; total magnetic moment = 0.00 μB/f.u.; theoretical density = 7.328 g cm⁻³; space group = I4mm (107); uncorrected energy = -23.00 eV/cell
1.0
-2.177 2.177 5.441
2.177 -2.177 5.441
2.177 2.177 -5.441
La Si Ag Ge
1 1 2 1
direct
0.000 0.000 0.000 La
0.386 0.386 0.000 Si
0.255 0.755 0.500 Ag
0.755 0.255 0.500 Ag
0.608 0.608 0.000 Ge


NdAlZn2Cu2 (GGA-PBE, relaxed); volume = 101.2 Å³/f.u.; total magnetic moment = 0.01 μB/f.u.; theoretical density = 7.043 g cm⁻³; space group = Cmmm (65); uncorrected energy = -20.65 eV/cell
1.0
2.653 -4.574 0.000
2.653 4.574 0.000
0.000 0.000 4.169
Nd Al Zn Cu
1 1 2 2
direct
0.000 0.000 0.000 Nd
0.500 0.500 0.500 Al
0.000 0.500 0.500 Zn
0.500 0.000 0.500 Zn
0.335 0.665 0.000 Cu
0.665 0.335 0.000 Cu


CuH2 (GGA-PBE, relaxed); volume = 25.7 Å³/f.u.; theoretical density = 4.236 g cm⁻³; space group = C2/m (12); uncorrected energy = -9.61 eV/cell
1.0
2.574 -1.199 0.000
2.574 1.199 0.000
-2.361 0.000 4.162
Cu H
1 2
direct
0.000 0.000 0.000 Cu
0.490 0.490 0.760 H
0.510 0.510 0.240 H


NbAlCoNi (GGA-PBE, relaxed); volume = 53.2 Å³/f.u.; total magnetic moment = 0.74 μB/f.u.; ΔE to the lowest computed polymorph = 0.2831 eV/atom; theoretical density = 7.418 g cm⁻³; space group = F-43m (216)
1.0
0.000 2.985 2.985
2.985 0.000 2.985
2.985 2.985 0.000
Nb Al Co Ni
1 1 1 1
direct
0.000 0.000 0.000 Nb
0.250 0.250 0.250 Al
0.500 0.500 0.500 Co
0.750 0.750 0.750 Ni


ZrGaAg2O4 (GGA-PBE, relaxed); volume = 107.7 Å³/f.u.; total magnetic moment = 0.02 μB/f.u.; theoretical density = 6.793 g cm⁻³; space group = P-3m1 (164); uncorrected energy = -49.35 eV/cell
1.0
3.090 0.000 0.000
-1.545 2.676 0.000
0.000 0.000 13.027
Zr Ga Ag O
1 1 2 4
direct
0.000 0.000 0.000 Zr
0.000 0.000 0.500 Ga
0.333 0.667 0.739 Ag
0.667 0.333 0.261 Ag
0.333 0.667 0.576 O
0.333 0.667 0.906 O
0.667 0.333 0.094 O
0.667 0.333 0.424 O


Gd2ErLu5 (GGA-PBE, relaxed); volume = 240.5 Å³/f.u.; energy relative to the elements = 0.002 eV/atom; total magnetic moment = 0.07 μB/f.u.; theoretical density = 9.367 g cm⁻³; space group = Amm2 (38)
1.0
5.536 0.000 0.000
0.000 3.541 6.133
0.000 -3.541 6.133
Gd Er Lu
2 1 5
direct
0.000 0.000 0.000 Gd
0.500 0.333 0.333 Gd
0.500 0.832 0.832 Er
0.000 0.501 0.501 Lu
0.000 0.501 0.998 Lu
0.000 0.998 0.501 Lu
0.500 0.335 0.832 Lu
0.500 0.832 0.335 Lu


CsInHg (GGA-PBE, relaxed); volume = 139.9 Å³/f.u.; ΔE to the lowest computed polymorph = 0.0711 eV/atom; theoretical density = 5.323 g cm⁻³; space group = F-43m (216)
1.0
0.000 4.120 4.120
4.120 0.000 4.120
4.120 4.120 0.000
Cs In Hg
1 1 1
direct
0.000 0.000 0.000 Cs
0.250 0.250 0.250 In
0.500 0.500 0.500 Hg


ZrCoAgGe (GGA-PBE, relaxed); volume = 65.4 Å³/f.u.; total magnetic moment = 0.51 μB/f.u.; ΔE to the lowest computed polymorph = 0.0322 eV/atom; theoretical density = 8.390 g cm⁻³; space group = F-43m (216)
1.0
0.000 3.198 3.198
3.198 0.000 3.198
3.198 3.198 0.000
Zr Co Ag Ge
1 1 1 1
direct
0.000 0.000 0.000 Zr
0.500 0.500 0.500 Co
0.750 0.750 0.750 Ag
0.250 0.250 0.250 Ge


NdGdBi4Au2 (GGA-PBE, relaxed); volume = 215.5 Å³/f.u.; total magnetic moment = 0.00 μB/f.u.; theoretical density = 11.799 g cm⁻³; space group = P4mm (99); uncorrected energy = -36.66 eV/cell
1.0
4.639 0.000 0.000
0.000 4.639 0.000
0.000 0.000 10.015
Nd Gd Bi Au
1 1 4 2
direct
0.000 0.000 0.000 Nd
0.500 0.500 0.467 Gd
0.000 0.000 0.432 Bi
0.000 0.500 0.732 Bi
0.500 0.000 0.732 Bi
0.500 0.500 0.045 Bi
0.000 0.500 0.241 Au
0.500 0.000 0.241 Au


Tm2Pb (GGA-PBE, relaxed); volume = 301.8 Å³/f.u.; total magnetic moment = 0.04 μB/f.u.; theoretical density = 2.999 g cm⁻³; space group = Fd-3m (227); uncorrected energy = -17.03 eV/cell
1.0
0.000 6.708 6.708
6.708 0.000 6.708
6.708 6.708 0.000
Tm Pb
4 2
direct
0.000 0.000 0.000 Tm
0.000 0.000 0.500 Tm
0.000 0.500 0.000 Tm
0.500 0.000 0.000 Tm
0.125 0.125 0.125 Pb
0.875 0.875 0.875 Pb


YTlCuTc (GGA-PBE, relaxed); volume = 77.5 Å³/f.u.; total magnetic moment = 0.01 μB/f.u.; ΔE to the lowest computed polymorph = 0.0000 eV/atom; theoretical density = 9.749 g cm⁻³; space group = F-43m (216)
1.0
0.000 3.384 3.384
3.384 0.000 3.384
3.384 3.384 0.000
Y Tl Cu Tc
1 1 1 1
direct
0.000 0.000 0.000 Y
0.500 0.500 0.500 Tl
0.750 0.750 0.750 Cu
0.250 0.250 0.250 Tc


Dy2Y2CCl5 (GGA-PBE, relaxed); volume = 240.2 Å³/f.u.; total magnetic moment = 0.04 μB/f.u.; theoretical density = 4.785 g cm⁻³; space group = C2/m (12); uncorrected energy = -57.62 eV/cell
1.0
8.510 -1.864 0.000
8.510 1.864 0.000
-1.847 0.000 7.571
Dy Y C Cl
2 2 1 5
direct
0.145 0.145 0.081 Dy
0.855 0.855 0.919 Dy
0.499 0.499 0.210 Y
0.501 0.501 0.790 Y
0.000 0.000 0.000 C
0.000 0.000 0.500 Cl
0.329 0.329 0.161 Cl
0.336 0.336 0.660 Cl
0.664 0.664 0.340 Cl
0.671 0.671 0.839 Cl


Dy2Lu3Ga3 (GGA-PBE, relaxed); volume = 197.7 Å³/f.u.; total magnetic moment = 0.01 μB/f.u.; ΔE to the lowest computed polymorph = 0.1287 eV/atom; theoretical density = 8.897 g cm⁻³; space group = P-6m2 (187)
1.0
6.841 0.000 0.000
-3.421 5.925 0.000
0.000 0.000 4.877
Dy Lu Ga
2 3 3
direct
0.000 0.000 0.000 Dy
0.333 0.667 0.500 Dy
0.353 0.177 0.500 Lu
0.823 0.177 0.500 Lu
0.823 0.647 0.500 Lu
0.520 0.040 0.000 Ga
0.520 0.480 0.000 Ga
0.960 0.480 0.000 Ga


ErCd3Si (GGA-PBE, relaxed); volume = 214.5 Å³/f.u.; total magnetic moment = 0.83 μB/f.u.; theoretical density = 4.123 g cm⁻³; space group = P6_3/mmc (194); uncorrected energy = -18.81 eV/cell
1.0
9.055 0.000 0.000
-4.528 7.842 0.000
0.000 0.000 6.040
Er Cd Si
2 6 2
direct
0.000 0.000 0.000 Er
0.000 0.000 0.500 Er
0.173 0.345 0.250 Cd
0.173 0.827 0.250 Cd
0.345 0.173 0.750 Cd
0.655 0.827 0.250 Cd
0.827 0.173 0.750 Cd
0.827 0.655 0.750 Cd
0.333 0.667 0.250 Si
0.667 0.333 0.750 Si